Record 1
Computed, not measured: crystalline CdCu2Br at its relaxed geometry at the PBE-GGA level of DFT.

energy relative to the elements, uncorrected = 2.0 eV/f.u.
energy above the lowest structure with this stoichiometry = 0.4477 eV per atom
theoretical density = 6.927 g/cm³

Geometry as CIF:
```
data_CdCu2Br
_chemical_formula_sum 'Cd4 Cu8 Br4'
_cell_length_a 6.741
_cell_length_b 6.741
_cell_length_c 6.741
_cell_angle_alpha 90.00
_cell_angle_beta 90.00
_cell_angle_gamma 90.00
_space_group_name_H-M_alt 'F m -3 m'
_space_group_IT_number 225
_space_group_name_Hall '-F 4 2 3'
loop_
_atom_site_label
_atom_site_type_symbol
_atom_site_fract_x
_atom_site_fract_y
_atom_site_fract_z
Cd1 Cd 0.000 0.000 0.000
Cu1 Cu 0.250 0.250 0.250
Br1 Br 0.000 0.000 0.500
```

=====

Record 2
Computed, not measured: crystalline Cr2HOs at its relaxed geometry at the PBE-GGA level of DFT.

energy above the lowest structure with this stoichiometry = 0.9185 eV per atom
theoretical density = 7.551 g/cm³

Geometry as CIF:
```
data_Cr2HOs
_chemical_formula_sum 'Cr6 H3 Os3'
_cell_length_a 3.8023
_cell_length_b 3.8023
_cell_length_c 15.5561
_cell_angle_alpha 90.00
_cell_angle_beta 90.00
_cell_angle_gamma 120.00
_space_group_name_H-M_alt 'R -3 m'
_space_group_IT_number 166
_space_group_name_Hall '-R 3 2"'
loop_
_atom_site_label
_atom_site_type_symbol
_atom_site_fract_x
_atom_site_fract_y
_atom_site_fract_z
Cr1 Cr 0.0000 0.0000 0.1076
H1 H 0.0000 0.0000 0.0000
Os1 Os 0.0000 0.0000 0.5000
```

=====

Record 3
Computed, not measured: crystalline Na3CdF6 at its relaxed geometry at the PBE-GGA level of DFT.

energy relative to the elements, uncorrected = -23.0 eV/f.u.
energy above the lowest structure with this stoichiometry = 0.0000 eV per atom
theoretical density = 3.160 g/cm³

Geometry as CIF:
```
data_Na3CdF6
_chemical_formula_sum 'Na18 Cd6 F36'
_cell_length_a 9.6738
_cell_length_b 9.6738
_cell_length_c 11.4901
_cell_angle_alpha 90.00
_cell_angle_beta 90.00
_cell_angle_gamma 120.00
_space_group_name_H-M_alt 'R -3'
_space_group_IT_number 148
_space_group_name_Hall '-R 3'
loop_
_atom_site_label
_atom_site_type_symbol
_atom_site_fract_x
_atom_site_fract_y
_atom_site_fract_z
Na1 Na 0.0411 0.7740 0.2086
Cd1 Cd 0.0000 0.0000 0.0000
Cd2 Cd 0.0000 0.0000 0.5000
F1 F 0.0280 0.8418 0.8798
F2 F 0.0290 0.8210 0.4037
```

=====

Record 4
Computed, not measured: crystalline La4TcSn at its relaxed geometry at the PBE-GGA level of DFT.

energy of formation = -345 meV/atom
theoretical density = 6.871 g/cm³

Geometry as CIF:
```
data_La4TcSn
_chemical_formula_sum 'La8 Tc2 Sn2'
_cell_length_a 6.483
_cell_length_b 7.435
_cell_length_c 9.058
_cell_angle_alpha 110.69
_cell_angle_beta 107.05
_cell_angle_gamma 99.12
_space_group_name_H-M_alt 'P -1'
_space_group_IT_number 2
_space_group_name_Hall '-P 1'
loop_
_atom_site_label
_atom_site_type_symbol
_atom_site_fract_x
_atom_site_fract_y
_atom_site_fract_z
La1 La 0.056 0.373 0.233
La2 La 0.177 0.860 0.233
La3 La 0.314 0.314 0.628
La4 La 0.418 0.195 0.000
Tc1 Tc 0.252 0.510 0.000
Sn1 Sn 0.300 0.799 0.600
```

=====

| no. | raw total energy (eV per atom) |
| --- | --- |
| 1 | -2.20 |
| 2 | -7.51 |
| 3 | -3.91 |
| 4 | -6.02 |